[1]
Below is LiSmZnPd2 after structural relaxation, with properties calculated at the PBE-GGA level.

Unit cell a=6.725 b=6.725 c=6.725 alpha=146.16 beta=146.16 gamma=48.61
Element x y z (fractional)
Li (0.000, 0.000, 0.000)
Sm (0.250, 0.750, 0.500)
Zn (0.500, 0.500, 0.000)
Pd (0.640, 0.140, 0.500)
Pd (0.860, 0.360, 0.500)

Values from the calculation:
**ΔH_f (0 K)**: -59 kJ/mol of atoms
**D(E_F)**: 2.8 states/eV/f.u.

=====

[2]
Below is LiSn2Pd3 after structural relaxation, with properties calculated at the PBE-GGA level.

Unit cell a=4.569 b=4.569 c=11.305 alpha=90.00 beta=90.00 gamma=120.00
Element x y z (fractional)
Li (0.333, 0.667, 0.166)
Li (0.667, 0.333, 0.834)
Sn (0.000, 0.000, 0.000)
Sn (0.000, 0.000, 0.500)
Sn (0.333, 0.667, 0.689)
Sn (0.667, 0.333, 0.311)
Pd (0.000, 0.000, 0.246)
Pd (0.000, 0.000, 0.754)
Pd (0.333, 0.667, 0.417)
Pd (0.333, 0.667, 0.929)
Pd (0.667, 0.333, 0.071)
Pd (0.667, 0.333, 0.583)

Values from the calculation:
**Excess energy over the best structure of this formula in the dataset**: 0 meV/atom
**ΔH_f (0 K)**: -55 kJ/mol of atoms
**D(E_F)**: 2.3 states/eV/f.u.

=====

[3]
Below is LiSn2Pd after structural relaxation, with properties calculated at the PBE-GGA level.

Unit cell a=9.919 b=9.919 c=9.919 alpha=152.81 beta=120.97 gamma=66.17
Element x y z (fractional)
Li (0.197, 0.000, 0.197)
Li (0.198, 0.198, 0.000)
Li (0.802, 0.802, 0.000)
Li (0.803, 0.000, 0.803)
Sn (0.084, 0.584, 0.500)
Sn (0.151, 0.803, 0.347)
Sn (0.413, 0.413, 0.000)
Sn (0.456, 0.803, 0.653)
Sn (0.544, 0.197, 0.347)
Sn (0.587, 0.587, 0.000)
Sn (0.849, 0.197, 0.653)
Sn (0.916, 0.416, 0.500)
Pd (0.097, 0.352, 0.745)
Pd (0.392, 0.648, 0.745)
Pd (0.608, 0.352, 0.255)
Pd (0.903, 0.648, 0.255)

Values from the calculation:
**ΔH_f (0 K)**: -30 kJ/mol of atoms
**D(E_F)**: 1.4 states/eV/f.u.

=====

[4]
Below is LiSn3Pd7 after structural relaxation, with properties calculated at the PBE-GGA level.

Unit cell a=6.920 b=6.920 c=4.755 alpha=110.01 beta=110.01 gamma=93.37
Element x y z (fractional)
Li (0.000, 0.000, 0.000)
Sn (0.262, 0.738, 0.500)
Sn (0.500, 0.500, 0.000)
Sn (0.738, 0.262, 0.500)
Pd (0.000, 0.000, 0.500)
Pd (0.111, 0.532, 0.821)
Pd (0.315, 0.315, 0.315)
Pd (0.468, 0.889, 0.179)
Pd (0.532, 0.111, 0.821)
Pd (0.685, 0.685, 0.685)
Pd (0.889, 0.468, 0.179)

Values from the calculation:
**ΔH_f (0 K)**: -32 kJ/mol of atoms
**D(E_F)**: 3.4 states/eV/f.u.

=====

[5]
Below is Li3SnPd4 after structural relaxation, with properties calculated at the PBE-GGA level.

Unit cell a=7.902 b=7.902 c=4.057 alpha=104.81 beta=104.81 gamma=30.12
Element x y z (fractional)
Li (0.000, 0.000, 0.000)
Li (0.140, 0.140, 0.641)
Li (0.860, 0.860, 0.359)
Sn (0.500, 0.500, 0.500)
Pd (0.252, 0.252, 0.252)
Pd (0.380, 0.380, 0.880)
Pd (0.620, 0.620, 0.120)
Pd (0.748, 0.748, 0.748)

Values from the calculation:
**Excess energy over the best structure of this formula in the dataset**: 132 meV/atom
**ΔH_f (0 K)**: -42 kJ/mol of atoms
**D(E_F)**: 2.4 states/eV/f.u.

=====

[6]
Below is Li8SnPd2 after structural relaxation, with properties calculated at the PBE-GGA level.

Unit cell a=6.857 b=6.857 c=4.258 alpha=90.00 beta=90.00 gamma=108.14
Element x y z (fractional)
Li (0.157, 0.157, 0.000)
Li (0.192, 0.463, 0.500)
Li (0.246, 0.754, 0.000)
Li (0.463, 0.192, 0.500)
Li (0.537, 0.808, 0.500)
Li (0.754, 0.246, 0.000)
Li (0.808, 0.537, 0.500)
Li (0.843, 0.843, 0.000)
Sn (0.500, 0.500, 0.000)
Pd (0.120, 0.880, 0.500)
Pd (0.880, 0.120, 0.500)

Values from the calculation:
**ΔH_f (0 K)**: -29 kJ/mol of atoms
**D(E_F)**: 2.0 states/eV/f.u.

=====

[7]
Below is LiSnPd4 after structural relaxation, with properties calculated at the PBE-GGA level.

Unit cell a=5.819 b=5.819 c=4.150 alpha=90.00 beta=90.00 gamma=138.25
Element x y z (fractional)
Li (0.000, 0.000, 0.000)
Sn (0.500, 0.500, 0.500)
Pd (0.161, 0.839, 0.500)
Pd (0.340, 0.660, 0.000)
Pd (0.660, 0.340, 0.000)
Pd (0.839, 0.161, 0.500)

Values from the calculation:
**Excess energy over the best structure of this formula in the dataset**: 0 meV/atom
**ΔH_f (0 K)**: -48 kJ/mol of atoms
**D(E_F)**: 1.8 states/eV/f.u.

=====

[8]
Below is Li3SnPd after structural relaxation, with properties calculated at the PBE-GGA level.

Unit cell a=7.073 b=7.073 c=5.584 alpha=103.28 beta=103.28 gamma=38.07
Element x y z (fractional)
Li (0.004, 0.004, 0.278)
Li (0.188, 0.188, 0.018)
Li (0.393, 0.393, 0.825)
Li (0.607, 0.607, 0.175)
Li (0.812, 0.812, 0.982)
Li (0.996, 0.996, 0.722)
Sn (0.385, 0.385, 0.334)
Sn (0.615, 0.615, 0.666)
Pd (0.194, 0.194, 0.529)
Pd (0.806, 0.806, 0.471)

Values from the calculation:
**Excess energy over the best structure of this formula in the dataset**: 0 meV/atom
**ΔH_f (0 K)**: -42 kJ/mol of atoms
**D(E_F)**: 1.6 states/eV/f.u.

=====

[9]
Below is Li2Sn3Pd2 after structural relaxation, with properties calculated at the PBE-GGA level.

Unit cell a=5.244 b=5.244 c=7.206 alpha=106.22 beta=106.22 gamma=51.02
Element x y z (fractional)
Li (0.244, 0.244, 0.328)
Li (0.756, 0.756, 0.672)
Sn (0.000, 0.000, 0.500)
Sn (0.330, 0.330, 0.957)
Sn (0.670, 0.670, 0.043)
Pd (0.455, 0.455, 0.676)
Pd (0.545, 0.545, 0.324)

Values from the calculation:
**Excess energy over the best structure of this formula in the dataset**: 22 meV/atom
**ΔH_f (0 K)**: -39 kJ/mol of atoms
**D(E_F)**: 1.9 states/eV/f.u.

=====

[10]
Below is LiSnPd14 after structural relaxation, with properties calculated at the PBE-GGA level.

Unit cell a=5.614 b=5.614 c=7.865 alpha=90.00 beta=90.00 gamma=90.00
Element x y z (fractional)
Li (0.000, 0.000, 0.000)
Sn (0.500, 0.500, 0.000)
Pd (0.000, 0.000, 0.500)
Pd (0.000, 0.500, 0.000)
Pd (0.000, 0.500, 0.500)
Pd (0.248, 0.248, 0.248)
Pd (0.248, 0.248, 0.752)
Pd (0.248, 0.752, 0.248)
Pd (0.248, 0.752, 0.752)
Pd (0.500, 0.000, 0.000)
Pd (0.500, 0.000, 0.500)
Pd (0.500, 0.500, 0.500)
Pd (0.752, 0.248, 0.248)
Pd (0.752, 0.248, 0.752)
Pd (0.752, 0.752, 0.248)
Pd (0.752, 0.752, 0.752)

Values from the calculation:
**ΔH_f (0 K)**: -18 kJ/mol of atoms
**D(E_F)**: 28.8 states/eV/f.u.

=====

[11]
Below is Li2Sn3Pd8 after structural relaxation, with properties calculated at the PBE-GGA level.

Unit cell a=9.788 b=9.788 c=9.788 alpha=31.70 beta=31.70 gamma=31.70
Element x y z (fractional)
Li (0.133, 0.133, 0.133)
Li (0.867, 0.867, 0.867)
Sn (0.310, 0.310, 0.310)
Sn (0.500, 0.500, 0.500)
Sn (0.690, 0.690, 0.690)
Pd (0.217, 0.217, 0.217)
Pd (0.227, 0.227, 0.727)
Pd (0.227, 0.727, 0.227)
Pd (0.273, 0.773, 0.773)
Pd (0.727, 0.227, 0.227)
Pd (0.773, 0.273, 0.773)
Pd (0.773, 0.773, 0.273)
Pd (0.783, 0.783, 0.783)

Values from the calculation:
**ΔH_f (0 K)**: -23 kJ/mol of atoms
**D(E_F)**: 5.6 states/eV/f.u.

=====

[12]
Below is Li7SnPd4 after structural relaxation, with properties calculated at the PBE-GGA level.

Unit cell a=5.364 b=5.364 c=8.937 alpha=113.34 beta=113.34 gamma=53.03
Element x y z (fractional)
Li (0.000, 0.000, 0.000)
Li (0.158, 0.158, 0.623)
Li (0.190, 0.190, 0.908)
Li (0.385, 0.385, 0.549)
Li (0.615, 0.615, 0.451)
Li (0.810, 0.810, 0.092)
Li (0.842, 0.842, 0.377)
Sn (0.500, 0.500, 0.000)
Pd (0.107, 0.107, 0.302)
Pd (0.353, 0.353, 0.215)
Pd (0.647, 0.647, 0.785)
Pd (0.893, 0.893, 0.698)

Values from the calculation:
**ΔH_f (0 K)**: -22 kJ/mol of atoms
**D(E_F)**: 3.6 states/eV/f.u.